Entry from the Alexandria database: a relaxed structure of P2IrCl (PBE).

Summary:
**Distance to the lowest polymorph of the same formula**: 0.663 eV per atom
**Calculated density**: 7765 kg/m³
**N(E_F)**: 2.97 states/eV per cell
**Formation energy (no corrections)**: 1.5 eV/f.u.
**Energy**: -40.0 eV for the cell shown

Lattice parameters (Å, degrees): 4.900 4.900 5.160 90.00 90.00 90.00
Space group I4/mmm (No. 139)
One atom of each set of equivalent atoms:
1 P 0.000 0.500 0.000 [4 per cell]
2 Ir 0.000 0.000 0.000 [2 per cell]
3 Cl 0.000 0.000 0.500 [2 per cell]

---

Entry from the Alexandria database: a relaxed structure of PIr2Cl (PBE).

Summary:
**Distance to the lowest polymorph of the same formula**: 0.415 eV per atom
**Calculated density**: 10453 kg/m³
**N(E_F)**: 6.52 states/eV per cell
**Formation energy (no corrections)**: 1.5 eV/f.u.
**Energy**: -23.5 eV for the cell shown

Lattice parameters (Å, degrees): 2.865 2.865 8.729 90.00 90.00 90.00
Space group P4mm (No. 99)
One atom of each set of equivalent atoms:
1 P 0.000 0.000 0.000 [1 per cell]
2 Ir 0.000 0.000 0.613 [1 per cell]
3 Ir 0.500 0.500 0.834 [1 per cell]
4 Cl 0.500 0.500 0.406 [1 per cell]

---

Entry from the Alexandria database: a relaxed structure of P2IrCl (PBE).

Summary:
**Distance to the lowest polymorph of the same formula**: 0.322 eV per atom
**Calculated density**: 5103 kg/m³
**N(E_F)**: 6.29 states/eV per cell
**Formation energy (no corrections)**: 0.2 eV/f.u.
**Energy**: -85.5 eV for the cell shown

Lattice parameters (Å, degrees): 5.981 5.981 10.537 90.00 90.00 90.00
Space group I-42d (No. 122)
One atom of each set of equivalent atoms:
1 P 0.163 0.250 0.125 [8 per cell]
2 Ir 0.000 0.000 0.000 [4 per cell]
3 Cl 0.000 0.000 0.500 [4 per cell]

---

Entry from the Alexandria database: a relaxed structure of PIr2Cl (PBE).

Summary:
**Distance to the lowest polymorph of the same formula**: 0.282 eV per atom
**Calculated density**: 10486 kg/m³
**N(E_F)**: 1.22 states/eV per cell
**Formation energy (no corrections)**: 0.9 eV/f.u.
**Energy**: -24.0 eV for the cell shown

Lattice parameters (Å, degrees): 2.977 3.504 6.844 90.00 90.34 90.00
Space group P2/m (No. 10)
One atom of each set of equivalent atoms:
1 P 0.000 0.000 0.000 [1 per cell]
2 Ir 0.002 0.500 0.800 [2 per cell]
3 Cl 0.000 0.000 0.500 [1 per cell]